Entry 1:
The following is a PBE calculation of a relaxed structure of UTi3H, from Alexandria.

Properties
Total moment   3.63 μB per formula unit
Final energy   -7.55 eV per atom
N(E_F)   12.6 states/eV per cell

```
data_UTi3H
_chemical_formula_sum 'U1 Ti3 H1'
_cell_length_a 4.223
_cell_length_b 4.223
_cell_length_c 4.223
_cell_angle_alpha 90.00
_cell_angle_beta 90.00
_cell_angle_gamma 90.00
_space_group_name_H-M_alt 'P 1'
_space_group_IT_number 1
_space_group_name_Hall 'P 1'
loop_
_atom_site_label
_atom_site_fract_x
_atom_site_fract_y
_atom_site_fract_z
U1 0.000 0.000 0.000
Ti1 0.000 0.500 0.500
Ti2 0.500 0.000 0.500
Ti3 0.500 0.500 0.000
H1 0.500 0.500 0.500
```



Entry 2:
The following is a PBE calculation of a relaxed structure of UTi2H, from Alexandria.

Properties
Total moment   1.50 μB per formula unit
N(E_F)   6.3 states/eV per cell
Polymorph energy (0 for the lowest one)   628 meV/atom

```
data_UTi2H
_chemical_formula_sum 'U1 Ti2 H1'
_cell_length_a 3.304
_cell_length_b 3.304
_cell_length_c 5.587
_cell_angle_alpha 90.00
_cell_angle_beta 90.00
_cell_angle_gamma 90.00
_space_group_name_H-M_alt 'P 1'
_space_group_IT_number 1
_space_group_name_Hall 'P 1'
loop_
_atom_site_label
_atom_site_fract_x
_atom_site_fract_y
_atom_site_fract_z
U1 0.000 0.000 0.000
Ti1 0.500 0.500 0.260
Ti2 0.500 0.500 0.740
H1 0.000 0.000 0.500
```



Entry 3:
The following is a PBE calculation of a relaxed structure of Ti2VH4, from Alexandria.

Properties
Total moment   0.70 μB per formula unit
N(E_F)   2.4 states/eV per cell
Polymorph energy (0 for the lowest one)   0 meV/atom

```
data_Ti2VH4
_chemical_formula_sum 'Ti2 V1 H4'
_cell_length_a 6.476
_cell_length_b 6.476
_cell_length_c 6.476
_cell_angle_alpha 152.47
_cell_angle_beta 152.47
_cell_angle_gamma 39.33
_space_group_name_H-M_alt 'P 1'
_space_group_IT_number 1
_space_group_name_Hall 'P 1'
loop_
_atom_site_label
_atom_site_fract_x
_atom_site_fract_y
_atom_site_fract_z
Ti1 0.175 0.175 0.000
Ti2 0.825 0.825 0.000
V1 0.500 0.500 0.000
H1 0.081 0.581 0.500
H2 0.419 0.919 0.500
H3 0.581 0.081 0.500
H4 0.919 0.419 0.500
```



Entry 4:
The following is a PBE calculation of a relaxed structure of Ti4V3H8, from Alexandria.

Properties
Total moment   0.00 μB per formula unit
Final energy   -5.91 eV per atom
N(E_F)   8.9 states/eV per cell

```
data_Ti4V3H8
_chemical_formula_sum 'Ti4 V3 H8'
_cell_length_a 5.573
_cell_length_b 5.573
_cell_length_c 5.592
_cell_angle_alpha 116.74
_cell_angle_beta 116.74
_cell_angle_gamma 94.33
_space_group_name_H-M_alt 'P 1'
_space_group_IT_number 1
_space_group_name_Hall 'P 1'
loop_
_atom_site_label
_atom_site_fract_x
_atom_site_fract_y
_atom_site_fract_z
Ti1 0.000 0.000 0.000
Ti2 0.000 0.500 0.000
Ti3 0.500 0.000 0.000
Ti4 0.500 0.500 0.500
V1 0.000 0.000 0.500
V2 0.000 0.500 0.500
V3 0.500 0.000 0.500
H1 0.233 0.233 0.478
H2 0.241 0.759 0.000
H3 0.242 0.758 0.500
H4 0.245 0.245 0.980
H5 0.755 0.755 0.020
H6 0.758 0.242 0.500
H7 0.759 0.241 0.000
H8 0.767 0.767 0.522
```



Entry 5:
The following is a PBE calculation of a relaxed structure of TiV2H6, from Alexandria.

Properties
Total moment   0.00 μB per formula unit
N(E_F)   4.1 states/eV per cell
Polymorph energy (0 for the lowest one)   197 meV/atom

```
data_TiV2H6
_chemical_formula_sum 'Ti1 V2 H6'
_cell_length_a 4.784
_cell_length_b 4.784
_cell_length_c 5.845
_cell_angle_alpha 122.89
_cell_angle_beta 122.89
_cell_angle_gamma 40.50
_space_group_name_H-M_alt 'P 1'
_space_group_IT_number 1
_space_group_name_Hall 'P 1'
loop_
_atom_site_label
_atom_site_fract_x
_atom_site_fract_y
_atom_site_fract_z
Ti1 0.000 0.000 0.000
V1 0.173 0.173 0.562
V2 0.827 0.827 0.438
H1 0.058 0.058 0.735
H2 0.246 0.246 0.330
H3 0.359 0.359 0.926
H4 0.641 0.641 0.074
H5 0.754 0.754 0.670
H6 0.942 0.942 0.265
```



Entry 6:
The following is a PBE calculation of a relaxed structure of Ti2VH2, from Alexandria.

Properties
Total moment   0.00 μB per formula unit
N(E_F)   16.3 states/eV per cell
Polymorph energy (0 for the lowest one)   61 meV/atom

```
data_Ti2VH2
_chemical_formula_sum 'Ti8 V4 H8'
_cell_length_a 7.231
_cell_length_b 5.255
_cell_length_c 5.481
_cell_angle_alpha 90.00
_cell_angle_beta 101.33
_cell_angle_gamma 90.00
_space_group_name_H-M_alt 'P 1'
_space_group_IT_number 1
_space_group_name_Hall 'P 1'
loop_
_atom_site_label
_atom_site_fract_x
_atom_site_fract_y
_atom_site_fract_z
Ti1 0.023 0.250 0.003
Ti2 0.023 0.250 0.503
Ti3 0.325 0.603 0.335
Ti4 0.325 0.897 0.835
Ti5 0.675 0.103 0.165
Ti6 0.675 0.397 0.665
Ti7 0.977 0.750 0.497
Ti8 0.977 0.750 0.997
V1 0.341 0.107 0.336
V2 0.341 0.393 0.836
V3 0.659 0.607 0.164
V4 0.659 0.893 0.664
H1 0.091 0.513 0.773
H2 0.091 0.987 0.273
H3 0.470 0.144 0.673
H4 0.470 0.356 0.173
H5 0.530 0.644 0.827
H6 0.530 0.856 0.327
H7 0.909 0.013 0.727
H8 0.909 0.487 0.227
```



Entry 7:
The following is a PBE calculation of a relaxed structure of Ti3VH, from Alexandria.

Properties
Total moment   0.00 μB per formula unit
N(E_F)   8.1 states/eV per cell
Polymorph energy (0 for the lowest one)   0 meV/atom

```
data_Ti3VH
_chemical_formula_sum 'Ti3 V1 H1'
_cell_length_a 4.060
_cell_length_b 4.060
_cell_length_c 4.060
_cell_angle_alpha 90.00
_cell_angle_beta 90.00
_cell_angle_gamma 90.00
_space_group_name_H-M_alt 'P 1'
_space_group_IT_number 1
_space_group_name_Hall 'P 1'
loop_
_atom_site_label
_atom_site_fract_x
_atom_site_fract_y
_atom_site_fract_z
Ti1 0.000 0.000 0.500
Ti2 0.000 0.500 0.000
Ti3 0.500 0.000 0.000
V1 0.500 0.500 0.500
H1 0.000 0.000 0.000
```



Entry 8:
The following is a PBE calculation of a relaxed structure of TiVH2, from Alexandria.

Properties
Total moment   0.00 μB per formula unit
N(E_F)   2.9 states/eV per cell
Polymorph energy (0 for the lowest one)   36 meV/atom

```
data_TiVH2
_chemical_formula_sum 'Ti1 V1 H2'
_cell_length_a 4.886
_cell_length_b 4.886
_cell_length_c 4.886
_cell_angle_alpha 34.52
_cell_angle_beta 34.52
_cell_angle_gamma 34.52
_space_group_name_H-M_alt 'P 1'
_space_group_IT_number 1
_space_group_name_Hall 'P 1'
loop_
_atom_site_label
_atom_site_fract_x
_atom_site_fract_y
_atom_site_fract_z
Ti1 0.000 0.000 0.000
V1 0.500 0.500 0.500
H1 0.242 0.242 0.242
H2 0.758 0.758 0.758
```